Record 1
Compound: ErNbC2
Source: Alexandria
Functional: GGA-PBE
Structure: optimized geometry

## Properties
The calculation puts the volume at 13.77 Å³/atom. The formation energy comes out at -0.39 eV per atom. The total magnetic moment is 0.00 μB/cell.

Unit cell a=5.7211 b=3.4687 c=11.0989 alpha=90.00 beta=90.00 gamma=90.00
Fractional positions:
Er (0.0854, 0.2500, 0.1398)
Er (0.4146, 0.7500, 0.6398)
Er (0.5854, 0.2500, 0.3602)
Er (0.9146, 0.7500, 0.8602)
Nb (0.0961, 0.7500, 0.3942)
Nb (0.4039, 0.2500, 0.8942)
Nb (0.5961, 0.7500, 0.1058)
Nb (0.9039, 0.2500, 0.6058)
C (0.1481, 0.2500, 0.7525)
C (0.2296, 0.2500, 0.4863)
C (0.2704, 0.7500, 0.9863)
C (0.3519, 0.7500, 0.2525)
C (0.6481, 0.2500, 0.7475)
C (0.7296, 0.2500, 0.0137)
C (0.7704, 0.7500, 0.5137)
C (0.8519, 0.7500, 0.2475)

Record 2
Compound: Er2NbC
Source: Alexandria
Functional: GGA-PBE
Structure: optimized geometry

## Properties
The calculation puts the volume at 21.49 Å³/atom. The formation energy comes out at 0.33 eV per atom. The total magnetic moment is 0.97 μB/cell.

Unit cell a=9.0489 b=9.0489 c=9.0489 alpha=21.34 beta=21.34 gamma=21.34
Fractional positions:
Er (0.1152, 0.1152, 0.1152)
Er (0.8848, 0.8848, 0.8848)
Nb (0.0000, 0.0000, 0.0000)
C (0.5000, 0.5000, 0.5000)

Look up the total magnetic moment of the first one.
0.00 μB/cell

Which value of total magnetic moment does entry 2 give?
0.97 μB/cell

Number 2 is which compound?
Er2NbC